A plane-wave DFT calculation with GGA-PBE was carried out for an optimized crystal structure of Ce7AuBr12.

Calculated values
raw formation energy	-1.507	eV per atom
magnetic moment	9.05	μB per formula unit
total energy	-4.751	eV/atom
D(E_F)	48.75	states/eV/f.u.
volume	35.12	Å³/atom

Unit cell a=15.6620 b=15.6620 c=9.9195 alpha=90.00 beta=90.00 gamma=120.00
Space group R-3 (No. 148, hexagonal axes)
One atom of each set of equivalent atoms:
1 Ce 0.0000 0.0000 0.0000 [3 per cell]
2 Ce 0.0435 0.1689 0.3247 [18 per cell]
3 Au 0.0000 0.0000 0.5000 [3 per cell]
4 Br 0.0314 0.5873 0.1617 [18 per cell]
5 Br 0.0483 0.1857 0.8456 [18 per cell]